Entry 1:
Density functional theory data (GGA-PBEsol) for a geometry-optimized HfAlCu structure.

As for the symmetry: Amm2. The value obtained for the raw total energy is -79.83 eV per cell. The energy of formation from the pure elements comes out at -0.343 eV/atom.

a = 5.094 Å, b = 5.094 Å, c = 8.200 Å
α = 90.00°, β = 90.00°, γ = 118.85°
Site moments in Bohr magnetons follow the coordinates.
Fractional positions:
Al (0.834, 0.651, 0.500)  0.00
Cu (0.173, 0.349, 0.000)  0.01
Hf (0.333, 0.667, 0.698)  0.02
Cu (0.835, 0.165, 0.500)  0.00
Cu (0.651, 0.827, 0.000)  0.01
Hf (0.333, 0.667, 0.302)  0.02
Hf (0.665, 0.335, 0.180)  0.06
Al (0.349, 0.166, 0.500)  0.00
Al (0.995, 0.005, 0.763)  0.00
Cu (0.171, 0.829, 0.000)  0.01
Al (0.995, 0.005, 0.237)  0.00
Hf (0.665, 0.335, 0.820)  0.06

=====

Entry 2:
Density functional theory data (GGA-PBEsol) for a geometry-optimized HfAl3Cu structure.

As for the symmetry: Pm-3m. The value obtained for the raw total energy is -25.63 eV per cell. The energy of formation from the pure elements comes out at 0.297 eV/atom.

a = 4.467 Å, b = 4.467 Å, c = 4.467 Å
α = 90.00°, β = 90.00°, γ = 90.00°
Fractional positions:
Al (0.000, 0.500, 0.000)
Cu (0.000, 0.000, 0.000)
Al (0.000, 0.000, 0.500)
Al (0.500, 0.000, 0.000)
Hf (0.500, 0.500, 0.500)

=====

Copy entry 1 word for word.
Density functional theory data (GGA-PBEsol) for a geometry-optimized HfAlCu structure.

As for the symmetry: Amm2. The value obtained for the raw total energy is -79.83 eV per cell. The energy of formation from the pure elements comes out at -0.343 eV/atom.

a = 5.094 Å, b = 5.094 Å, c = 8.200 Å
α = 90.00°, β = 90.00°, γ = 118.85°
Site moments in Bohr magnetons follow the coordinates.
Fractional positions:
Al (0.834, 0.651, 0.500)  0.00
Cu (0.173, 0.349, 0.000)  0.01
Hf (0.333, 0.667, 0.698)  0.02
Cu (0.835, 0.165, 0.500)  0.00
Cu (0.651, 0.827, 0.000)  0.01
Hf (0.333, 0.667, 0.302)  0.02
Hf (0.665, 0.335, 0.180)  0.06
Al (0.349, 0.166, 0.500)  0.00
Al (0.995, 0.005, 0.763)  0.00
Cu (0.171, 0.829, 0.000)  0.01
Al (0.995, 0.005, 0.237)  0.00
Hf (0.665, 0.335, 0.820)  0.06